No. 1
Density functional theory data (PBE) for SmBe2TeO8 after structural relaxation.

Cell: 5.2177 5.2177 6.5258 Å, 90.00 90.00 120.00°
Each line ends with the local moment (μB).
Fractional coordinates of all 12 atoms:
O1 0.8389 0.6778 0.1927  0.14
Sm1 0.0000 0.0000 0.5000  -0.02
O2 0.8389 0.1611 0.1927  0.14
O3 0.1611 0.3222 0.8073  0.14
Be1 0.3333 0.6667 0.7581  -0.02
O4 0.3333 0.6667 0.5051  0.80
O5 0.1611 0.8389 0.8073  0.14
Be2 0.6667 0.3333 0.2419  -0.02
O6 0.6667 0.3333 0.4949  0.80
Te1 0.0000 0.0000 0.0000  -0.01
O7 0.3222 0.1611 0.1927  0.14
O8 0.6778 0.8389 0.8073  0.14

The calculation puts the energy at -6.149 eV/atom. The value obtained for the density of states at the Fermi level is 6.41 states/eV per cell. Its space-group type is P-3m1.


No. 2
Density functional theory data (PBE) for MgBe2W after structural relaxation.

Cell: 3.4685 2.7522 6.2532 Å, 64.98 90.00 90.00°
Fractional coordinates of all 4 atoms:
Mg1 0.5000 0.2500 0.2500
Be1 0.0000 0.0508 0.9514
W1 0.5000 0.7500 0.7500
Be2 0.0000 0.4492 0.5486

The calculation puts the energy at -5.221 eV/atom. The value obtained for the density of states at the Fermi level is 2.60 states/eV per cell. Its space-group type is P2/m. The value obtained for the formation energy is 279 meV per atom.